Entry P
A plane-wave DFT calculation with PBE was carried out for crystalline PmTmCl at its relaxed geometry.

Space-group type: P3m1 (156)
Calculated volume (Å³ per atom): 27.70
Crystal system: trigonal

Cell lengths 3.6749, 3.6749, 7.1060 Å; angles 90.00, 90.00, 120.00 degrees
Closest atoms and distances in Å follow each position.
Atoms (fractional coordinates):
1 Pm 0.0000 0.0000 0.0000  3 Cl 3.15, 3 Tm 3.43
2 Tm 0.3333 0.6667 0.6206  3 Cl 2.97
3 Cl 0.6667 0.3333 0.3271  3 Tm 2.97, 3 Pm 3.15


Entry Q
A plane-wave DFT calculation with PBE was carried out for crystalline PmTmCl at its relaxed geometry.

Space-group type: C2/m (12)
Calculated volume (Å³ per atom): 27.64
Crystal system: monoclinic

Cell lengths 5.8161, 5.8161, 9.8382 Å; angles 118.37, 118.37, 35.08 degrees
Closest atoms and distances in Å follow each position.
Atoms (fractional coordinates):
1 Pm 0.0049 0.0049 0.3234  4 Cl 3.01-3.12
2 Pm 0.9951 0.9951 0.6766  4 Cl 3.01-3.12
3 Tm 0.1745 0.1745 0.0836  2 Cl 2.89
4 Tm 0.8255 0.8255 0.9164  2 Cl 2.89
5 Cl 0.2667 0.2667 0.6575  2 Tm 2.89, 4 Pm 3.01-3.12
6 Cl 0.7333 0.7333 0.3425  2 Tm 2.89, 4 Pm 3.01-3.12


Relative to the most stable structure, the computed energies are entry P 0.0; entry Q 15.5, all in kJ/mol of atoms.


Entry P
A plane-wave DFT calculation with PBE was carried out for crystalline RbPrCl4 at its relaxed geometry.

Space-group type: Pnma (62)
Calculated volume (Å³ per atom): 28.24
Crystal system: orthorhombic

Cell lengths 7.7561, 4.4143, 19.7991 Å; angles 90.00, 90.00, 90.00 degrees
Closest atoms and distances in Å follow each position.
Atoms (fractional coordinates):
1 Rb 0.2191 0.2500 0.2042  7 Cl 3.27-3.36
2 Rb 0.2809 0.7500 0.7042  7 Cl 3.27-3.36
3 Rb 0.7191 0.2500 0.2958  7 Cl 3.27-3.36
4 Rb 0.7809 0.7500 0.7958  7 Cl 3.27-3.36
5 Pr 0.2501 0.2500 0.9416  9 Cl 2.88-3.06
6 Pr 0.2499 0.7500 0.4416  9 Cl 2.88-3.06
7 Pr 0.7501 0.2500 0.5584  9 Cl 2.88-3.06
8 Pr 0.7499 0.7500 0.0584  9 Cl 2.88-3.06
9 Cl 0.0083 0.2500 0.0604  3 Pr 2.98-3.01, 2 Cl 3.26, 1 Rb 3.28
10 Cl 0.0955 0.2500 0.8093  1 Pr 2.88
11 Cl 0.0987 0.2500 0.3674  2 Pr 2.90
12 Cl 0.1404 0.2500 0.5364  3 Pr 3.02-3.06, 1 Cl 3.36
13 Cl 0.3596 0.7500 0.0364  3 Pr 3.02-3.06, 1 Cl 3.36
14 Cl 0.4013 0.7500 0.8674  2 Pr 2.90
15 Cl 0.4045 0.7500 0.3093  1 Pr 2.88
16 Cl 0.4917 0.7500 0.5604  3 Pr 2.98-3.01, 2 Cl 3.26, 1 Rb 3.28
17 Cl 0.5083 0.2500 0.4396  3 Pr 2.98-3.01, 2 Cl 3.26, 1 Rb 3.28
18 Cl 0.5955 0.2500 0.6907  1 Pr 2.88
19 Cl 0.5987 0.2500 0.1326  2 Pr 2.90
20 Cl 0.6404 0.2500 0.9636  3 Pr 3.02-3.06, 1 Cl 3.36
21 Cl 0.8596 0.7500 0.4636  3 Pr 3.02-3.06, 1 Cl 3.36
22 Cl 0.9013 0.7500 0.6326  2 Pr 2.90
23 Cl 0.9045 0.7500 0.1907  1 Pr 2.88
24 Cl 0.9917 0.7500 0.9396  3 Pr 2.98-3.01, 2 Cl 3.26, 1 Rb 3.28


Entry Q
A plane-wave DFT calculation with PBE was carried out for crystalline RbPrCl4 at its relaxed geometry.

Space-group type: C2/c (15)
Calculated volume (Å³ per atom): 34.27
Crystal system: monoclinic

Cell lengths 8.5060, 8.5060, 7.1856 Å; angles 108.30, 108.30, 109.50 degrees
Closest atoms and distances in Å follow each position.
Atoms (fractional coordinates):
1 Rb 0.1402 0.8598 0.7500  8 Cl 3.40-3.51
2 Rb 0.8598 0.1402 0.2500  8 Cl 3.40-3.51
3 Pr 0.4918 0.5082 0.2500  8 Cl 2.88-2.94
4 Pr 0.5082 0.4918 0.7500  8 Cl 2.88-2.94
5 Cl 0.1811 0.2970 0.7985  2 Pr 2.92, 2 Cl 3.23-3.25
6 Cl 0.2472 0.5545 0.4394  2 Pr 2.88-2.94
7 Cl 0.2970 0.1811 0.2985  2 Pr 2.92, 2 Cl 3.23-3.25
8 Cl 0.4455 0.7528 0.0606  2 Pr 2.88-2.94
9 Cl 0.5545 0.2472 0.9394  2 Pr 2.88-2.94
10 Cl 0.7030 0.8189 0.7015  2 Pr 2.92, 2 Cl 3.23-3.25
11 Cl 0.7528 0.4455 0.5606  2 Pr 2.88-2.94
12 Cl 0.8189 0.7030 0.2015  2 Pr 2.92, 2 Cl 3.23-3.25


Relative to the most stable structure, the computed energies are entry P 0.0; entry Q 5.1, all in kJ/mol of atoms.


Entry P
A plane-wave DFT calculation with PBE was carried out for crystalline PrRuCl at its relaxed geometry.

Space-group type: R-3m (166)
Calculated volume (Å³ per atom): 28.06
Crystal system: trigonal

Cell lengths 11.1653, 11.1653, 11.1653 Å; angles 21.81, 21.81, 21.81 degrees
Closest atoms and distances in Å follow each position.
Atoms (fractional coordinates):
1 Pr 0.0638 0.0638 0.0638  3 Cl 2.96, 6 Ru 3.15-3.27
2 Pr 0.9362 0.9362 0.9362  3 Cl 2.96, 6 Ru 3.15-3.27
3 Ru 0.3362 0.3362 0.3362  3 Ru 2.45
4 Ru 0.6639 0.6639 0.6639  3 Ru 2.45
5 Cl 0.2181 0.2181 0.2181  3 Pr 2.96
6 Cl 0.7819 0.7819 0.7819  3 Pr 2.96


Entry Q
A plane-wave DFT calculation with PBE was carried out for crystalline PrRuCl at its relaxed geometry.

Space-group type: Cm (8)
Calculated volume (Å³ per atom): 28.31
Crystal system: monoclinic

Cell lengths 4.2219, 4.2219, 11.2775 Å; angles 100.91, 100.91, 60.00 degrees
Closest atoms and distances in Å follow each position.
Atoms (fractional coordinates):
1 Pr 0.0000 0.0000 0.0000  3 Cl 2.97, 6 Ru 3.21
2 Pr 0.1280 0.1280 0.3794  3 Cl 2.97, 6 Ru 3.21
3 Ru 0.3973 0.3973 0.1896  3 Ru 2.44
4 Ru 0.7306 0.7306 0.1897  3 Ru 2.44
5 Cl 0.2814 0.2814 0.8454  3 Pr 2.97
6 Cl 0.5135 0.5135 0.5338  3 Pr 2.97


Relative to the most stable structure, the computed energies are entry P 0.0; entry Q 0.8, all in kJ/mol of atoms.


Entry P
A plane-wave DFT calculation with PBE was carried out for crystalline Pr3RuCl at its relaxed geometry.

Space-group type: P2_1/m (11)
Calculated volume (Å³ per atom): 29.00
Crystal system: monoclinic

Cell lengths 7.6297, 4.0360, 9.4186 Å; angles 90.00, 90.06, 90.00 degrees
Closest atoms and distances in Å follow each position.
Atoms (fractional coordinates):
1 Pr 0.0021 0.2500 0.1613  2 Ru 2.83, 2 Cl 3.16
2 Pr 0.2496 0.2500 0.5710  1 Ru 3.01, 2 Cl 3.08
3 Pr 0.4980 0.2500 0.1613  2 Ru 2.83, 2 Cl 3.16
4 Pr 0.5020 0.7500 0.8387  2 Ru 2.83, 2 Cl 3.16
5 Pr 0.7504 0.7500 0.4290  1 Ru 3.01, 2 Cl 3.08
6 Pr 0.9979 0.7500 0.8387  2 Ru 2.83, 2 Cl 3.16
7 Ru 0.2500 0.2500 0.8902  5 Pr 2.83-3.01
8 Ru 0.7500 0.7500 0.1098  5 Pr 2.83-3.01
9 Cl 0.2503 0.7500 0.3236  6 Pr 3.08-3.16
10 Cl 0.7497 0.2500 0.6764  6 Pr 3.08-3.16


Entry Q
A plane-wave DFT calculation with PBE was carried out for crystalline Pr3RuCl at its relaxed geometry.

Space-group type: Pmmn (59)
Calculated volume (Å³ per atom): 30.49
Crystal system: orthorhombic

Cell lengths 3.8609, 9.8067, 8.0516 Å; angles 90.00, 90.00, 90.00 degrees
Closest atoms and distances in Å follow each position.
Atoms (fractional coordinates):
1 Pr 0.2500 0.0754 0.1665  2 Ru 3.02, 2 Cl 3.33
2 Pr 0.2500 0.2500 0.7285  2 Ru 2.75
3 Pr 0.2500 0.4246 0.1665  2 Ru 3.02, 2 Cl 3.33
4 Pr 0.7500 0.5754 0.8335  2 Ru 3.02, 2 Cl 3.33
5 Pr 0.7500 0.7500 0.2715  2 Ru 2.75
6 Pr 0.7500 0.9246 0.8335  2 Ru 3.02, 2 Cl 3.33
7 Ru 0.2500 0.7500 0.0275  6 Pr 2.75-3.02
8 Ru 0.7500 0.2500 0.9725  6 Pr 2.75-3.02
9 Cl 0.2500 0.7500 0.5718  6 Pr 3.09-3.33
10 Cl 0.7500 0.2500 0.4282  6 Pr 3.09-3.33


Relative to the most stable structure, the computed energies are entry P 0.9; entry Q 0.0, all in kJ/mol of atoms.


Entry P
A plane-wave DFT calculation with PBE was carried out for crystalline Pr2RuCl at its relaxed geometry.

Space-group type: P4/mmm (123)
Calculated volume (Å³ per atom): 24.38
Crystal system: tetragonal

Cell lengths 3.4553, 3.4553, 8.1691 Å; angles 90.00, 90.00, 90.00 degrees
Closest atoms and distances in Å follow each position.
Atoms (fractional coordinates):
1 Pr 0.0000 0.0000 0.2175  4 Ru 3.02, 4 Cl 3.36
2 Pr 0.0000 0.0000 0.7825  4 Ru 3.02, 4 Cl 3.36
3 Ru 0.5000 0.5000 0.0000  8 Pr 3.02
4 Cl 0.5000 0.5000 0.5000  8 Pr 3.36, 4 Cl 3.46


Entry Q
A plane-wave DFT calculation with PBE was carried out for crystalline Pr2RuCl at its relaxed geometry.

Space-group type: R3m (160)
Calculated volume (Å³ per atom): 27.84
Crystal system: trigonal

Cell lengths 8.1505, 8.1505, 8.1505 Å; angles 28.83, 28.83, 28.83 degrees
Closest atoms and distances in Å follow each position.
Atoms (fractional coordinates):
1 Pr 0.0000 0.0000 0.0000  3 Ru 2.84
2 Pr 0.1968 0.1968 0.1968  3 Ru 2.84
3 Ru 0.5983 0.5983 0.5983  6 Pr 2.84
4 Cl 0.7673 0.7673 0.7673  6 Pr 3.25-3.32


Relative to the most stable structure, the computed energies are entry P 0.0; entry Q 0.7, all in kJ/mol of atoms.


Entry P
A plane-wave DFT calculation with PBE was carried out for crystalline PrScCl at its relaxed geometry.

Space-group type: P-1 (2)
Calculated volume (Å³ per atom): 27.05
Crystal system: triclinic

Cell lengths 3.5456, 5.8466, 8.5399 Å; angles 109.96, 101.94, 90.05 degrees
Closest atoms and distances in Å follow each position.
Atoms (fractional coordinates):
1 Pr 0.0556 0.3004 0.1102  1 Cl 3.05, 1 Pr 3.35
2 Pr 0.9444 0.6996 0.8898  1 Cl 3.05, 1 Pr 3.35
3 Sc 0.3643 0.1036 0.7280  3 Cl 2.63-2.69
4 Sc 0.6357 0.8964 0.2720  3 Cl 2.63-2.69
5 Cl 0.2277 0.2306 0.4555  3 Sc 2.63-2.69
6 Cl 0.7723 0.7694 0.5445  3 Sc 2.63-2.69


Entry Q
A plane-wave DFT calculation with PBE was carried out for crystalline PrScCl at its relaxed geometry.

Space-group type: P3m1 (156)
Calculated volume (Å³ per atom): 25.97
Crystal system: trigonal

Cell lengths 3.5597, 3.5597, 7.0993 Å; angles 90.00, 90.00, 120.00 degrees
Closest atoms and distances in Å follow each position.
Atoms (fractional coordinates):
1 Pr 0.0000 0.0000 0.0000  3 Cl 3.27, 3 Sc 3.38, 6 Pr 3.56
2 Sc 0.6667 0.3333 0.3775  3 Cl 2.78
3 Cl 0.3333 0.6667 0.6413  3 Sc 2.78


Relative to the most stable structure, the computed energies are entry P 5.7; entry Q 0.0, all in kJ/mol of atoms.